1.
The following is a GGA-PBE calculation of crystalline La2Sb4PdPt3 at its relaxed geometry, from the Alexandria database.

```
La2Sb4PdPt3
1.0
-2.4980 -2.8591 2.7854
0.7669 -3.5684 -2.9751
8.7552 -2.5136 5.2717
Pt Sb La Pd
3 4 2 1
Direct
0.0000 0.5000 0.1244
0.0000 0.0000 0.5000
0.5000 0.0000 0.8756
0.5000 0.5000 0.0000
0.0000 0.5000 0.3730
0.5000 0.0000 0.6270
0.0000 0.0000 0.0000
0.0000 0.5000 0.7395
0.5000 0.0000 0.2605
0.5000 0.5000 0.5000
```

## Properties
Total magnetization: 0.00 μB per formula unit
ρ: 10.36 g/cm³
Formation energy without anion corrections: -0.92 eV/atom

***

2.
The following is a GGA-PBE calculation of crystalline La2Sb4Pd3Pt at its relaxed geometry, from the Alexandria database.

```
La2Sb4Pd3Pt
1.0
-4.4302 -1.5898 -0.0216
0.5425 -1.5715 4.4034
-3.3367 9.2478 3.7114
Pd La Sb Pt
3 2 4 1
Direct
0.5000 0.0000 0.8751
0.0000 0.0000 0.5000
0.0000 0.5000 0.1249
0.0000 0.5000 0.7393
0.5000 0.0000 0.2607
0.5000 0.5000 0.0000
0.0000 0.5000 0.3730
0.5000 0.0000 0.6270
0.0000 0.0000 0.0000
0.5000 0.5000 0.5000
```

## Properties
Total magnetization: 0.00 μB per formula unit
ρ: 9.12 g/cm³
Formation energy without anion corrections: -0.89 eV/atom

***

3.
The following is a GGA-PBE calculation of crystalline LaSiPdPt6 at its relaxed geometry, from the Alexandria database.

```
LaSiPdPt6
1.0
6.5482 0.0000 0.0000
0.0000 9.2893 0.0000
-3.2741 -4.6447 5.6733
La Pt Si Pd
2 12 2 2
Direct
0.8202 0.5702 0.6404
0.1798 0.4298 0.3596
0.0685 0.8185 0.1369
0.9027 0.6353 0.2521
0.3495 0.6353 0.2521
0.0973 0.8832 0.7479
0.3495 0.1168 0.2521
0.5693 0.3193 0.1387
0.4307 0.6807 0.8613
0.9315 0.1815 0.8631
0.9027 0.1168 0.2521
0.6505 0.8832 0.7479
0.0973 0.3647 0.7479
0.6505 0.3647 0.7479
0.5000 0.0000 0.0000
0.5000 0.5000 0.0000
0.0000 0.0000 0.5000
0.5000 0.0000 0.5000
```

## Properties
Total magnetization: 0.00 μB per formula unit
ρ: 13.90 g/cm³
Formation energy without anion corrections: -0.32 eV/atom

***

4.
The following is a GGA-PBE calculation of crystalline LaSiPd2Pt2 at its relaxed geometry, from the Alexandria database.

```
LaSiPd2Pt2
1.0
4.6122 0.0000 0.0000
0.0000 4.6122 0.0000
0.0000 0.0000 5.7612
Pd Pt Si La
2 2 1 1
Direct
0.5000 0.5000 0.7340
0.5000 0.5000 0.2660
0.0000 0.5000 0.0000
0.5000 0.0000 0.0000
0.0000 0.0000 0.0000
0.0000 0.0000 0.5000
```

## Properties
Total magnetization: 0.00 μB per formula unit
ρ: 10.43 g/cm³
Formation energy without anion corrections: -0.38 eV/atom